PBE CsTlH, optimized geometry; SG = P-1 (2); polymorph energy (0 for the lowest one) = 61 meV per atom
1.0
5.099 0.000 0.000
0.005 6.674 0.000
2.532 3.111 6.157
Cs Tl H
2 2 2
Direct
0.109 0.357 0.285
0.891 0.643 0.715
0.318 0.070 0.863
0.682 0.930 0.137
0.334 0.385 0.830
0.666 0.615 0.170

PBE Cs2TlH4, optimized geometry; total DFT energy (no corrections) = -2.45 eV/atom; SG = I4/mmm (139)
1.0
4.428 0.000 0.000
0.000 4.428 0.000
0.000 0.000 15.558
Cs Tl H
4 2 8
Direct
0.000 0.000 0.145
0.000 0.000 0.855
0.500 0.500 0.355
0.500 0.500 0.645
0.000 0.000 0.500
0.500 0.500 0.000
0.000 0.000 0.350
0.000 0.000 0.650
0.000 0.500 0.000
0.000 0.500 0.500
0.500 0.000 0.000
0.500 0.000 0.500
0.500 0.500 0.150
0.500 0.500 0.850

no.,total magnetization (μB/atom)
1,0.000
2,0.000